--- A ---
Material: OsPtRh2
Method: DFT, SCAN
State: single point on PBEsol structure

## Properties
DOS(E_F)   3.22 states/eV per cell
Theoretical density   17.636 g cm⁻³

POSCAR file:
```
OsPtRh2
1.0
-0.397 1.839 1.930
-3.452 0.749 -1.423
-2.147 -3.818 3.197
Os Rh Pt
1 2 1
Direct
0.500 0.500 0.000
0.000 0.000 0.240
0.000 0.000 0.760
0.500 0.500 0.500
```

---

--- B ---
Material: OsPtRh2
Method: DFT, SCAN
State: single point on PBEsol structure

## Properties
DOS(E_F)   3.52 states/eV per cell
Theoretical density   17.613 g cm⁻³

POSCAR file:
```
OsPtRh2
1.0
2.696 0.000 0.000
0.000 2.696 0.000
0.000 0.000 7.670
Pt Os Rh
1 1 2
Direct
0.500 0.500 0.500
0.500 0.500 0.000
0.000 0.000 0.760
0.000 0.000 0.240
```

---

Relative energy table, unit kJ/mol of atoms: A 3.5; B 0.0

---

--- A ---
Material: Os2PtRh
Method: DFT, SCAN
State: single point on PBEsol structure

## Properties
DOS(E_F)   3.56 states/eV per cell
Theoretical density   20.026 g cm⁻³

POSCAR file:
```
Os2PtRh
1.0
-2.542 -0.677 0.620
-0.035 -1.752 -2.057
2.614 -5.539 4.673
Rh Os Pt
1 2 1
Direct
0.500 0.500 0.759
0.000 0.000 0.002
0.500 0.500 0.241
0.000 0.000 0.498
```

---

--- B ---
Material: Os2PtRh
Method: DFT, SCAN
State: single point on PBEsol structure

## Properties
DOS(E_F)   4.67 states/eV per cell
Theoretical density   20.107 g cm⁻³

POSCAR file:
```
Os2PtRh
1.0
3.828 0.000 0.000
0.000 3.828 0.000
-1.914 -1.914 3.823
Os Rh Pt
2 1 1
Direct
0.000 0.000 0.000
0.250 0.750 0.500
0.750 0.250 0.500
0.500 0.500 0.000
```

---

--- C ---
Material: Os2PtRh
Method: DFT, SCAN
State: single point on PBEsol structure

## Properties
DOS(E_F)   3.70 states/eV per cell
Theoretical density   19.985 g cm⁻³

POSCAR file:
```
Os2PtRh
1.0
-2.003 -1.798 -0.280
-0.363 -1.923 1.869
-6.252 4.148 5.014
Pt Rh Os
1 1 2
Direct
0.500 0.500 0.499
0.748 0.748 0.757
0.253 0.253 0.241
0.999 0.999 0.002
```

---

Relative energy table, unit kJ/mol of atoms: A 0.0; B 7.4; C 0.9

---

--- A ---
Material: Os2PtRh
Method: DFT, SCAN
State: single point on PBEsol structure

## Properties
DOS(E_F)   3.80 states/eV per cell
Theoretical density   19.402 g cm⁻³

POSCAR file:
```
Os2PtRh
1.0
-1.270 -1.588 1.730
2.661 -0.113 -0.179
0.726 6.605 6.594
Pt Rh Os
1 1 2
Direct
0.000 0.000 0.499
0.500 0.500 0.244
0.500 0.500 0.757
0.000 0.000 0.000
```

---

--- B ---
Material: Os2PtRh
Method: DFT, SCAN
State: single point on PBEsol structure

## Properties
DOS(E_F)   3.90 states/eV per cell
Theoretical density   20.048 g cm⁻³

POSCAR file:
```
Os2PtRh
1.0
-0.778 1.587 -2.047
1.184 -2.639 -2.495
-4.930 -2.298 0.092
Os Rh Pt
2 1 1
Direct
0.500 0.500 0.238
0.000 0.000 0.006
0.500 0.500 0.755
0.000 0.000 0.501
```

---

Relative energy table, unit kJ/mol of atoms: A 34.9; B 0.0

---

--- A ---
Material: OsRu2Pt
Method: DFT, SCAN
State: single point on PBEsol structure

## Properties
DOS(E_F)   3.48 states/eV per cell
Theoretical density   17.593 g cm⁻³

POSCAR file:
```
OsRu2Pt
1.0
-0.385 -1.737 -2.019
-0.015 -2.882 2.482
-5.362 0.522 0.574
Os Pt Ru
1 1 2
Direct
0.500 0.500 0.000
0.500 0.500 0.500
0.000 0.000 0.240
0.000 0.000 0.760
```

---

--- B ---
Material: OsRu2Pt
Method: DFT, SCAN
State: single point on PBEsol structure

## Properties
DOS(E_F)   3.61 states/eV per cell
Theoretical density   17.540 g cm⁻³

POSCAR file:
```
OsRu2Pt
1.0
2.694 0.000 0.000
1.347 2.333 0.000
1.347 0.778 8.847
Pt Ru Os
1 2 1
Direct
0.000 0.000 0.000
0.753 0.753 0.742
0.247 0.247 0.258
0.500 0.500 0.500
```

---

--- C ---
Material: OsRu2Pt
Method: DFT, SCAN
State: single point on PBEsol structure

## Properties
DOS(E_F)   3.61 states/eV per cell
Theoretical density   17.581 g cm⁻³

POSCAR file:
```
OsRu2Pt
1.0
-0.511 1.760 1.965
-2.554 -0.832 0.081
1.891 -5.296 5.235
Ru Os Pt
2 1 1
Direct
0.000 0.000 0.758
0.000 0.000 0.242
0.500 0.500 0.000
0.500 0.500 0.500
```

---

Relative energy table, unit kJ/mol of atoms: A 1.2; B 2.5; C 0.0

---

--- A ---
Material: Sc2OsPt
Method: DFT, SCAN
State: single point on PBEsol structure

## Properties
DOS(E_F)   2.33 states/eV per cell
Theoretical density   10.952 g cm⁻³

POSCAR file:
```
Sc2OsPt
1.0
-0.044 -3.011 0.122
1.940 -1.604 -1.658
6.670 -1.348 6.370
Sc Pt Os
2 1 1
Direct
0.762 0.762 0.713
0.989 0.989 0.032
0.249 0.249 0.253
0.499 0.499 0.502
```

---

--- B ---
Material: Sc2OsPt
Method: DFT, SCAN
State: single point on PBEsol structure

## Properties
DOS(E_F)   0.76 states/eV per cell
Theoretical density   11.942 g cm⁻³

POSCAR file:
```
Sc2OsPt
1.0
3.239 0.000 0.000
0.000 3.239 0.000
0.000 0.000 6.300
Sc Pt Os
2 1 1
Direct
0.000 0.000 0.758
0.000 0.000 0.242
0.500 0.500 0.500
0.500 0.500 0.000
```

---

Relative energy table, unit kJ/mol of atoms: A 104.7; B 0.0

---

--- A ---
Material: TcOsPt2
Method: DFT, SCAN
State: single point on PBEsol structure

## Properties
DOS(E_F)   3.26 states/eV per cell
Theoretical density   19.496 g cm⁻³

POSCAR file:
```
TcOsPt2
1.0
-1.535 -2.185 -0.525
2.120 -1.619 0.537
-2.133 -0.304 7.500
Tc Pt Os
1 2 1
Direct
0.000 0.000 0.510
0.500 0.500 0.260
0.000 0.000 0.992
0.500 0.500 0.738
```

---

--- B ---
Material: TcOsPt2
Method: DFT, SCAN
State: single point on PBEsol structure

## Properties
DOS(E_F)   3.22 states/eV per cell
Theoretical density   19.612 g cm⁻³

POSCAR file:
```
TcOsPt2
1.0
-0.196 -2.570 0.884
3.392 0.831 3.168
-4.217 0.984 1.923
Os Pt Tc
1 2 1
Direct
0.000 0.500 0.500
0.000 0.000 0.000
0.500 0.500 0.000
0.500 0.000 0.500
```

---

Relative energy table, unit kJ/mol of atoms: A 0.0; B 13.2

---

--- A ---
Material: Tc2OsPt
Method: DFT, SCAN
State: single point on PBEsol structure

## Properties
DOS(E_F)   2.37 states/eV per cell
Theoretical density   17.159 g cm⁻³

POSCAR file:
```
Tc2OsPt
1.0
2.721 0.000 0.000
0.000 4.344 0.000
0.000 0.000 4.759
Pt Tc Os
1 2 1
Direct
0.500 0.500 0.207
0.000 0.000 0.035
0.000 0.500 0.712
0.500 0.000 0.545
```

---

--- B ---
Material: Tc2OsPt
Method: DFT, SCAN
State: single point on PBEsol structure

## Properties
DOS(E_F)   3.87 states/eV per cell
Theoretical density   17.111 g cm⁻³

POSCAR file:
```
Tc2OsPt
1.0
2.700 0.000 0.000
0.000 4.718 0.001
0.000 -1.626 4.428
Os Pt Tc
1 1 2
Direct
0.500 0.000 0.000
0.500 0.500 0.500
0.000 0.000 0.500
0.000 0.500 0.000
```

---

Relative energy table, unit kJ/mol of atoms: A 0.0; B 11.7

---

--- A ---
Material: Te2OsPt
Method: DFT, SCAN
State: single point on PBEsol structure

## Properties
DOS(E_F)   2.49 states/eV per cell
Theoretical density   11.193 g cm⁻³

POSCAR file:
```
Te2OsPt
1.0
3.872 0.000 0.000
0.000 3.968 0.000
-1.936 -1.984 6.186
Os Pt Te
1 1 2
Direct
0.500 0.000 0.000
0.000 0.500 0.000
0.854 0.854 0.708
0.146 0.146 0.292
```

---

--- B ---
Material: Te2OsPt
Method: DFT, SCAN
State: single point on PBEsol structure

## Properties
DOS(E_F)   2.77 states/eV per cell
Theoretical density   13.119 g cm⁻³

POSCAR file:
```
Te2OsPt
1.0
3.172 0.000 0.000
0.000 3.172 0.000
0.000 0.000 8.059
Te Os Pt
2 1 1
Direct
0.000 0.000 0.937
0.500 0.500 0.322
0.000 0.000 0.506
0.500 0.500 0.735
```

---

--- C ---
Material: Te2OsPt
Method: DFT, SCAN
State: single point on PBEsol structure

## Properties
DOS(E_F)   4.04 states/eV per cell
Theoretical density   13.956 g cm⁻³

POSCAR file:
```
Te2OsPt
1.0
-1.923 -4.345 -0.262
0.308 -2.966 3.709
-3.885 -1.041 2.544
Te Os Pt
2 1 1
Direct
0.000 0.000 0.000
0.750 0.750 0.750
0.500 0.500 0.500
0.250 0.250 0.250
```

---

Relative energy table, unit kJ/mol of atoms: A 0.0; B 22.7; C 87.0

---

--- A ---
Material: Tl2OsPt
Method: DFT, SCAN
State: single point on PBEsol structure

## Properties
DOS(E_F)   2.58 states/eV per cell
Theoretical density   17.882 g cm⁻³

POSCAR file:
```
Tl2OsPt
1.0
-1.785 1.638 1.822
1.949 -1.926 1.297
6.274 6.533 0.275
Pt Tl Os
1 2 1
Direct
0.500 0.500 0.000
0.000 0.000 0.250
0.000 0.000 0.750
0.500 0.500 0.500
```

---

--- B ---
Material: Tl2OsPt
Method: DFT, SCAN
State: single point on PBEsol structure

## Properties
DOS(E_F)   1.85 states/eV per cell
Theoretical density   17.932 g cm⁻³

POSCAR file:
```
Tl2OsPt
1.0
-2.471 1.919 -0.744
-3.263 -3.495 1.827
3.113 2.672 3.502
Tl Pt Os
2 1 1
Direct
0.749 0.749 0.499
0.251 0.251 0.501
0.000 0.500 0.000
0.500 0.000 0.000
```

---

--- C ---
Material: Tl2OsPt
Method: DFT, SCAN
State: single point on PBEsol structure

## Properties
DOS(E_F)   3.83 states/eV per cell
Theoretical density   16.667 g cm⁻³

POSCAR file:
```
Tl2OsPt
1.0
2.940 0.000 0.000
0.000 4.553 0.000
-1.470 -2.276 5.911
Tl Pt Os
2 1 1
Direct
0.009 0.009 0.017
0.792 0.292 0.585
0.194 0.694 0.387
0.505 0.505 0.011
```

---

Relative energy table, unit kJ/mol of atoms: A 18.3; B 20.7; C 0.0

---

--- A ---
Material: Os2PtW
Method: DFT, SCAN
State: single point on PBEsol structure

## Properties
DOS(E_F)   2.66 states/eV per cell
Theoretical density   21.590 g cm⁻³

POSCAR file:
```
Os2PtW
1.0
2.726 0.000 0.000
0.000 3.902 0.000
0.000 0.000 5.491
Pt Os W
1 2 1
Direct
0.500 0.000 0.500
0.500 0.000 0.012
0.000 0.500 0.230
0.000 0.500 0.758
```

---

--- B ---
Material: Os2PtW
Method: DFT, SCAN
State: single point on PBEsol structure

## Properties
DOS(E_F)   3.45 states/eV per cell
Theoretical density   21.706 g cm⁻³

POSCAR file:
```
Os2PtW
1.0
-0.654 -1.511 -2.198
3.856 -2.656 0.679
-3.702 -1.841 2.367
Os Pt W
2 1 1
Direct
0.500 0.000 0.500
0.000 0.000 0.000
0.500 0.500 0.000
0.000 0.500 0.500
```

---

Relative energy table, unit kJ/mol of atoms: A 0.0; B 4.8

---

--- A ---
Material: YOsPt2
Method: DFT, SCAN
State: single point on PBEsol structure

## Properties
DOS(E_F)   3.43 states/eV per cell
Theoretical density   16.806 g cm⁻³

POSCAR file:
```
YOsPt2
1.0
-2.010 1.523 -1.304
-1.126 -2.385 -1.050
-4.795 -0.654 6.629
Y Pt Os
1 2 1
Direct
0.500 0.500 0.000
0.000 0.000 0.273
0.000 0.000 0.727
0.500 0.500 0.500
```

---

--- B ---
Material: YOsPt2
Method: DFT, SCAN
State: single point on PBEsol structure

## Properties
DOS(E_F)   6.24 states/eV per cell
Theoretical density   16.668 g cm⁻³

POSCAR file:
```
YOsPt2
1.0
-0.022 2.481 -3.192
-1.241 -3.042 -2.356
-3.251 1.257 3.559
Pt Y Os
2 1 1
Direct
0.000 0.000 0.000
0.750 0.250 0.500
0.500 0.500 0.000
0.250 0.750 0.500
```

---

Relative energy table, unit kJ/mol of atoms: A 9.3; B 0.0

---

--- A ---
Material: RbSb3Os
Method: DFT, SCAN
State: single point on PBEsol structure

## Properties
DOS(E_F)   7.02 states/eV per cell
Theoretical density   5.903 g cm⁻³

POSCAR file:
```
RbSb3Os
1.0
-5.565 -0.919 -0.314
0.940 -5.557 -0.397
-0.244 -0.443 5.627
Os Sb Rb
1 3 1
Direct
0.500 0.500 0.500
0.500 0.000 0.000
0.000 0.000 0.500
0.000 0.500 0.000
0.000 0.000 0.000
```

---

--- B ---
Material: RbSb3Os
Method: DFT, SCAN
State: single point on PBEsol structure

## Properties
DOS(E_F)   5.74 states/eV per cell
Theoretical density   7.329 g cm⁻³

POSCAR file:
```
RbSb3Os
1.0
-0.512 -3.734 3.664
5.188 0.108 0.836
-0.669 3.698 3.675
Os Sb Rb
1 3 1
Direct
0.000 0.000 0.000
0.500 0.000 0.000
0.000 0.500 0.000
0.000 0.000 0.500
0.500 0.500 0.500
```

---

Relative energy table, unit kJ/mol of atoms: A 231.6; B 0.0